Entry 1:
Density functional theory data (PBE) for a relaxed TaSb2Os crystal.

Geometry as CIF:
```
data_TaSb2Os
_chemical_formula_sum 'Ta1 Sb2 Os1'
_symmetry_space_group_name_H-M 'P 1'
_symmetry_Int_Tables_number 1
_cell_length_a 3.091
_cell_length_b 3.091
_cell_length_c 9.174
_cell_angle_alpha 90.00
_cell_angle_beta 90.00
_cell_angle_gamma 90.00
loop_
_symmetry_equiv_pos_as_xyz
'x,y,z'
loop_
_atom_site_label
_atom_site_type_symbol
_atom_site_fract_x
_atom_site_fract_y
_atom_site_fract_z
_atom_site_occupancy
Os1 Os 0.500 0.500 0.726 1
Sb1 Sb 0.000 0.000 0.924 1
Sb2 Sb 0.500 0.500 0.304 1
Ta1 Ta 0.000 0.000 0.545 1
```

Summary:
- formation energy (no corrections) (eV per atom) = 0.028
- space-group type = P4mm, No. 99
- total magnetic moment (Bohr magnetons per cell) = 0.00
- energy above the most stable polymorph in this dataset (eV per atom) = 0.000


Entry 2:
Density functional theory data (PBE) for a relaxed NiBiP2Cl crystal.

Geometry as CIF:
```
data_NiBiP2Cl
_chemical_formula_sum 'Ni1 Bi1 P2 Cl1'
_symmetry_space_group_name_H-M 'P 1'
_symmetry_Int_Tables_number 1
_cell_length_a 4.564
_cell_length_b 4.564
_cell_length_c 4.619
_cell_angle_alpha 90.00
_cell_angle_beta 90.00
_cell_angle_gamma 90.00
loop_
_symmetry_equiv_pos_as_xyz
'x,y,z'
loop_
_atom_site_label
_atom_site_type_symbol
_atom_site_fract_x
_atom_site_fract_y
_atom_site_fract_z
_atom_site_occupancy
P1 P 0.000 0.500 0.000 1
P2 P 0.500 0.000 0.000 1
Bi1 Bi 0.500 0.500 0.500 1
Cl1 Cl 0.000 0.000 0.500 1
Ni1 Ni 0.000 0.000 0.000 1
```

Summary:
- formation energy (no corrections) (eV per atom) = 0.278
- space-group type = P4/mmm, No. 123
- total magnetic moment (Bohr magnetons per cell) = 0.00
- energy above the most stable polymorph in this dataset (eV per atom) = 0.000


Entry 3:
Density functional theory data (PBE) for a relaxed PbSe2IBr crystal.

Geometry as CIF:
```
data_PbSe2IBr
_chemical_formula_sum 'Pb1 Se2 I1 Br1'
_symmetry_space_group_name_H-M 'P 1'
_symmetry_Int_Tables_number 1
_cell_length_a 5.501
_cell_length_b 5.501
_cell_length_c 5.570
_cell_angle_alpha 90.00
_cell_angle_beta 90.00
_cell_angle_gamma 90.00
loop_
_symmetry_equiv_pos_as_xyz
'x,y,z'
loop_
_atom_site_label
_atom_site_type_symbol
_atom_site_fract_x
_atom_site_fract_y
_atom_site_fract_z
_atom_site_occupancy
I1 I 0.000 0.000 0.000 1
Se1 Se 0.000 0.500 0.000 1
Se2 Se 0.500 0.000 0.000 1
Pb1 Pb 0.500 0.500 0.500 1
Br1 Br 0.000 0.000 0.500 1
```

Summary:
- formation energy (no corrections) (eV per atom) = 0.336
- space-group type = P4/mmm, No. 123
- total magnetic moment (Bohr magnetons per cell) = 0.00
- energy above the most stable polymorph in this dataset (eV per atom) = 0.000


Entry 4:
Density functional theory data (PBE) for a relaxed PrCd2 crystal.

Geometry as CIF:
```
data_PrCd2
_chemical_formula_sum 'Pr2 Cd4'
_symmetry_space_group_name_H-M 'P 1'
_symmetry_Int_Tables_number 1
_cell_length_a 6.030
_cell_length_b 6.030
_cell_length_c 6.030
_cell_angle_alpha 60.00
_cell_angle_beta 60.00
_cell_angle_gamma 60.00
loop_
_symmetry_equiv_pos_as_xyz
'x,y,z'
loop_
_atom_site_label
_atom_site_type_symbol
_atom_site_fract_x
_atom_site_fract_y
_atom_site_fract_z
_atom_site_occupancy
Pr1 Pr 0.000 0.000 0.000 1
Pr2 Pr 0.250 0.250 0.250 1
Cd1 Cd 0.125 0.625 0.625 1
Cd2 Cd 0.625 0.625 0.625 1
Cd3 Cd 0.625 0.125 0.625 1
Cd4 Cd 0.625 0.625 0.125 1
```

Summary:
- space-group type = Fd-3m, No. 227
- total magnetic moment (Bohr magnetons per cell) = 0.00
- ΔH_f (0 K) (meV/atom) = -313


Entry 5:
Density functional theory data (PBE) for a relaxed Sm4CuRh2 crystal.

Geometry as CIF:
```
data_Sm4CuRh2
_chemical_formula_sum 'Sm8 Cu2 Rh4'
_symmetry_space_group_name_H-M 'P 1'
_symmetry_Int_Tables_number 1
_cell_length_a 7.639
_cell_length_b 7.646
_cell_length_c 7.656
_cell_angle_alpha 109.31
_cell_angle_beta 109.26
_cell_angle_gamma 109.94
loop_
_symmetry_equiv_pos_as_xyz
'x,y,z'
loop_
_atom_site_label
_atom_site_type_symbol
_atom_site_fract_x
_atom_site_fract_y
_atom_site_fract_z
_atom_site_occupancy
Sm1 Sm 0.866 0.617 0.627 1
Sm2 Sm 0.384 0.509 0.249 1
Sm3 Sm 0.757 0.133 0.748 1
Sm4 Sm 0.868 0.616 0.127 1
Sm5 Sm 0.493 0.742 0.876 1
Sm6 Sm 0.382 0.009 0.248 1
Sm7 Sm 0.992 0.243 0.376 1
Sm8 Sm 0.258 0.133 0.749 1
Rh1 Rh 0.125 0.506 0.880 1
Rh2 Rh 0.493 0.374 0.618 1
Rh3 Rh 0.757 0.875 0.381 1
Rh4 Rh 0.625 0.243 0.118 1
Cu1 Cu 0.998 0.001 0.000 1
Cu2 Cu 0.252 0.749 0.502 1
```

Summary:
- space-group type = P1, No. 1
- total magnetic moment (Bohr magnetons per cell) = 0.00
- ΔH_f (0 K) (meV/atom) = -489


Entry 6:
Density functional theory data (PBE) for a relaxed FePbBr2 crystal.

Geometry as CIF:
```
data_FePbBr2
_chemical_formula_sum 'Fe1 Pb1 Br2'
_symmetry_space_group_name_H-M 'P 1'
_symmetry_Int_Tables_number 1
_cell_length_a 3.462
_cell_length_b 3.462
_cell_length_c 8.639
_cell_angle_alpha 90.00
_cell_angle_beta 90.00
_cell_angle_gamma 90.00
loop_
_symmetry_equiv_pos_as_xyz
'x,y,z'
loop_
_atom_site_label
_atom_site_type_symbol
_atom_site_fract_x
_atom_site_fract_y
_atom_site_fract_z
_atom_site_occupancy
Br1 Br 0.500 0.500 0.341 1
Br2 Br 0.000 0.000 0.958 1
Fe1 Fe 0.000 0.000 0.478 1
Pb1 Pb 0.500 0.500 0.723 1
```

Summary:
- formation energy (no corrections) (eV per atom) = 0.036
- space-group type = P4mm, No. 99
- total magnetic moment (Bohr magnetons per cell) = 3.24
- energy above the most stable polymorph in this dataset (eV per atom) = 0.217


Entry 7:
Density functional theory data (PBE) for a relaxed ReAuNF2 crystal.

Geometry as CIF:
```
data_ReAuNF2
_chemical_formula_sum 'Re1 Au1 N1 F2'
_symmetry_space_group_name_H-M 'P 1'
_symmetry_Int_Tables_number 1
_cell_length_a 4.468
_cell_length_b 4.468
_cell_length_c 4.028
_cell_angle_alpha 90.00
_cell_angle_beta 90.00
_cell_angle_gamma 90.00
loop_
_symmetry_equiv_pos_as_xyz
'x,y,z'
loop_
_atom_site_label
_atom_site_type_symbol
_atom_site_fract_x
_atom_site_fract_y
_atom_site_fract_z
_atom_site_occupancy
F1 F 0.000 0.500 0.000 1
F2 F 0.500 0.000 0.000 1
Au1 Au 0.000 0.000 0.000 1
Re1 Re 0.500 0.500 0.500 1
N1 N 0.000 0.000 0.500 1
```

Summary:
- formation energy (no corrections) (eV per atom) = 1.176
- space-group type = P4/mmm, No. 123
- total magnetic moment (Bohr magnetons per cell) = 4.24
- energy above the most stable polymorph in this dataset (eV per atom) = 1.353


Entry 8:
Density functional theory data (PBE) for a relaxed Hf2Ti3Ga5 crystal.

Geometry as CIF:
```
data_Hf2Ti3Ga5
_chemical_formula_sum 'Hf4 Ti6 Ga10'
_symmetry_space_group_name_H-M 'P 1'
_symmetry_Int_Tables_number 1
_cell_length_a 5.432
_cell_length_b 9.125
_cell_length_c 9.125
_cell_angle_alpha 63.44
_cell_angle_beta 72.69
_cell_angle_gamma 72.69
loop_
_symmetry_equiv_pos_as_xyz
'x,y,z'
loop_
_atom_site_label
_atom_site_type_symbol
_atom_site_fract_x
_atom_site_fract_y
_atom_site_fract_z
_atom_site_occupancy
Ga1 Ga 0.439 0.811 0.811 1
Ga2 Ga 0.061 0.189 0.189 1
Ga3 Ga 0.939 0.811 0.811 1
Ga4 Ga 0.409 0.286 0.897 1
Ga5 Ga 0.091 0.103 0.714 1
Ga6 Ga 0.909 0.897 0.286 1
Ga7 Ga 0.591 0.714 0.103 1
Ga8 Ga 0.561 0.189 0.189 1
Ga9 Ga 0.750 0.500 0.500 1
Ga10 Ga 0.250 0.500 0.500 1
Ti1 Ti 0.346 0.600 0.709 1
Ti2 Ti 0.750 0.000 0.000 1
Ti3 Ti 0.846 0.709 0.600 1
Ti4 Ti 0.154 0.291 0.400 1
Ti5 Ti 0.250 0.000 0.000 1
Ti6 Ti 0.654 0.400 0.291 1
Hf1 Hf 0.899 0.363 0.838 1
Hf2 Hf 0.601 0.162 0.637 1
Hf3 Hf 0.399 0.838 0.363 1
Hf4 Hf 0.101 0.637 0.162 1
```

Summary:
- space-group type = Ibam, No. 72
- total magnetic moment (Bohr magnetons per cell) = 0.63
- ΔH_f (0 K) (meV/atom) = -190


Entry 9:
Density functional theory data (PBE) for a relaxed ZrZnIr crystal.

Geometry as CIF:
```
data_ZrZnIr
_chemical_formula_sum 'Zr1 Zn1 Ir1'
_symmetry_space_group_name_H-M 'P 1'
_symmetry_Int_Tables_number 1
_cell_length_a 4.975
_cell_length_b 4.975
_cell_length_c 4.975
_cell_angle_alpha 143.64
_cell_angle_beta 135.42
_cell_angle_gamma 58.83
loop_
_symmetry_equiv_pos_as_xyz
'x,y,z'
loop_
_atom_site_label
_atom_site_type_symbol
_atom_site_fract_x
_atom_site_fract_y
_atom_site_fract_z
_atom_site_occupancy
Zr1 Zr 0.662 0.662 0.000 1
Zn1 Zn 0.341 0.341 0.000 1
Ir1 Ir 0.997 0.997 0.000 1
```

Summary:
- space-group type = Imm2, No. 44
- total magnetic moment (Bohr magnetons per cell) = 0.00
- ΔH_f (0 K) (meV/atom) = -529


Entry 10:
Density functional theory data (PBE) for a relaxed BaCo2Tc crystal.

Geometry as CIF:
```
data_BaCo2Tc
_chemical_formula_sum 'Ba1 Co2 Tc1'
_symmetry_space_group_name_H-M 'P 1'
_symmetry_Int_Tables_number 1
_cell_length_a 3.145
_cell_length_b 3.142
_cell_length_c 8.096
_cell_angle_alpha 67.21
_cell_angle_beta 90.00
_cell_angle_gamma 90.00
loop_
_symmetry_equiv_pos_as_xyz
'x,y,z'
loop_
_atom_site_label
_atom_site_type_symbol
_atom_site_fract_x
_atom_site_fract_y
_atom_site_fract_z
_atom_site_occupancy
Co1 Co 0.000 0.915 0.085 1
Co2 Co 0.000 0.585 0.415 1
Ba1 Ba 0.500 0.750 0.750 1
Tc1 Tc 0.500 0.250 0.250 1
```

Summary:
- space-group type = P4/mmm, No. 123
- total magnetic moment (Bohr magnetons per cell) = 2.71
- ΔH_f (0 K) (meV/atom) = 575
- energy above the most stable polymorph in this dataset (eV per atom) = 0.223


Entry 11:
Density functional theory data (PBE) for a relaxed CrAg2Ir crystal.

Geometry as CIF:
```
data_CrAg2Ir
_chemical_formula_sum 'Cr1 Ag2 Ir1'
_symmetry_space_group_name_H-M 'P 1'
_symmetry_Int_Tables_number 1
_cell_length_a 4.962
_cell_length_b 4.962
_cell_length_c 2.895
_cell_angle_alpha 90.00
_cell_angle_beta 90.00
_cell_angle_gamma 113.78
loop_
_symmetry_equiv_pos_as_xyz
'x,y,z'
loop_
_atom_site_label
_atom_site_type_symbol
_atom_site_fract_x
_atom_site_fract_y
_atom_site_fract_z
_atom_site_occupancy
Ag1 Ag 0.000 0.000 0.000 1
Ag2 Ag 0.500 0.500 0.000 1
Cr1 Cr 0.500 0.000 0.500 1
Ir1 Ir 0.000 0.500 0.500 1
```

Summary:
- space-group type = Cmmm, No. 65
- total magnetic moment (Bohr magnetons per cell) = 4.08
- ΔH_f (0 K) (meV/atom) = 499
- energy above the most stable polymorph in this dataset (eV per atom) = 0.307


Entry 12:
Density functional theory data (PBE) for a relaxed SiNiSN2 crystal.

Geometry as CIF:
```
data_SiNiSN2
_chemical_formula_sum 'Si1 Ni1 S1 N2'
_symmetry_space_group_name_H-M 'P 1'
_symmetry_Int_Tables_number 1
_cell_length_a 3.344
_cell_length_b 3.344
_cell_length_c 6.725
_cell_angle_alpha 90.00
_cell_angle_beta 90.00
_cell_angle_gamma 90.00
loop_
_symmetry_equiv_pos_as_xyz
'x,y,z'
loop_
_atom_site_label
_atom_site_type_symbol
_atom_site_fract_x
_atom_site_fract_y
_atom_site_fract_z
_atom_site_occupancy
N1 N 0.000 0.500 0.000 1
N2 N 0.500 0.000 0.000 1
S1 S 0.000 0.000 0.500 1
Ni1 Ni 0.500 0.500 0.500 1
Si1 Si 0.000 0.000 0.000 1
```

Summary:
- formation energy (no corrections) (eV per atom) = 0.533
- space-group type = P4/mmm, No. 123
- total magnetic moment (Bohr magnetons per cell) = 1.15
- energy above the most stable polymorph in this dataset (eV per atom) = 0.000


| no. | VASP energy (eV/atom) |
| --- | --- |
| 1 | -7.8042 |
| 2 | -4.1873 |
| 3 | -2.4440 |
| 4 | -2.5160 |
| 5 | -5.8716 |
| 6 | -3.8432 |
| 7 | -4.3829 |
| 8 | -6.0623 |
| 9 | -6.7572 |
| 10 | -6.0501 |
| 11 | -5.5479 |
| 12 | -5.8634 |